Entry 1:
VASP calculation (PBE) on a geometry-optimized RbHPt3 structure.

Lattice parameters (Å, degrees): 5.263 5.263 5.263 90.00 90.00 90.00
Last column: magnetic moment on the atom in μB.
Fractional positions:
Pt (0.000, 0.000, 0.500)  0.26
Pt (0.000, 0.500, 0.000)  0.32
Pt (0.500, 0.000, 0.000)  0.32
H (0.500, 0.500, 0.500)  0.35
Rb (0.000, 0.000, 0.000)  0.00

Values from the calculation:
DOS at the Fermi energy	9.821	states/eV/f.u.
V	146	Å³/cell
ρ	7.65	g/cm³
DFT total energy	-0.066	Ha/atom



Entry 2:
VASP calculation (PBE) on a geometry-optimized Na2ZnCrPd structure.

Lattice parameters (Å, degrees): 5.293 4.861 5.293 90.00 90.00 90.00
Last column: magnetic moment on the atom in μB.
Fractional positions:
Pd (0.000, 0.000, 0.000)  0.06
Cr (0.500, 0.500, 0.500)  4.31
Zn (0.000, 0.500, 0.000)  -0.01
Na (0.000, 0.000, 0.500)  0.00
Na (0.500, 0.000, 0.000)  -0.01

Values from the calculation:
energy of formation	0.569	eV per atom
DOS at the Fermi energy	1.888	states/eV/f.u.
V	136	Å³/cell
ρ	3.29	g/cm³



Entry 3:
VASP calculation (PBE) on a geometry-optimized BeSnAu2 structure.

Lattice parameters (Å, degrees): 3.749 3.749 6.617 73.54 73.54 60.00
Fractional positions:
Au (0.724, 0.724, 0.828)
Au (0.276, 0.276, 0.172)
Be (0.000, 0.000, 0.000)
Sn (0.500, 0.500, 0.500)

Values from the calculation:
energy of formation	-0.033	eV per atom
DOS at the Fermi energy	1.246	states/eV/f.u.
V	76	Å³/cell
ρ	11.38	g/cm³



Entry 4:
VASP calculation (PBE) on a geometry-optimized CsTaBe structure.

Lattice parameters (Å, degrees): 3.688 7.393 8.176 63.12 76.97 90.00
Fractional positions:
Ta (0.584, 0.584, 0.832)
Ta (0.416, 0.416, 0.168)
Be (0.000, 0.345, 0.000)
Be (0.000, 0.655, 0.000)
Cs (0.659, 0.159, 0.683)
Cs (0.341, 0.841, 0.317)

Values from the calculation:
energy of formation	0.960	eV per atom
DOS at the Fermi energy	1.513	states/eV/f.u.
V	192	Å³/cell
ρ	5.57	g/cm³



Entry 5:
VASP calculation (PBE) on a geometry-optimized GaAuBr6 structure.

Lattice parameters (Å, degrees): 5.992 8.985 8.367 48.66 61.37 60.06
Fractional positions:
Br (0.172, 0.844, 0.350)
Br (0.882, 0.639, 0.204)
Br (0.388, 0.832, 0.850)
Br (0.612, 0.168, 0.150)
Br (0.118, 0.361, 0.796)
Br (0.828, 0.156, 0.650)
Ga (0.000, 0.000, 0.000)
Au (0.500, 0.500, 0.500)

Values from the calculation:
raw formation energy	-0.3843	eV per atom
V	285	Å³/cell
ρ	4.34	g/cm³



Entry 6:
VASP calculation (PBE) on a geometry-optimized KLiTaFe2 structure.

Lattice parameters (Å, degrees): 4.610 5.621 4.610 90.00 90.00 90.00
Last column: magnetic moment on the atom in μB.
Fractional positions:
Fe (0.500, 0.000, 0.000)  1.74
Fe (0.000, 0.000, 0.500)  1.98
K (0.500, 0.500, 0.500)  -0.01
Li (0.000, 0.500, 0.000)  -0.04
Ta (0.000, 0.000, 0.000)  -0.63

Values from the calculation:
energy of formation	1.165	eV per atom
DOS at the Fermi energy	4.908	states/eV/f.u.
V	119	Å³/cell
ρ	4.71	g/cm³



Entry 7:
VASP calculation (PBE) on a geometry-optimized Nd4YSe7 structure.

Lattice parameters (Å, degrees): 4.089 7.191 12.462 104.26 90.00 106.52
Fractional positions:
Se (0.496, 0.991, 0.503)
Se (0.265, 0.531, 0.648)
Se (0.661, 0.321, 0.050)
Se (0.338, 0.677, 0.949)
Se (0.038, 0.076, 0.779)
Se (0.961, 0.921, 0.216)
Se (0.743, 0.486, 0.355)
Nd (0.112, 0.224, 0.425)
Nd (0.999, 0.999, 0.998)
Nd (0.301, 0.602, 0.192)
Nd (0.699, 0.398, 0.808)
Y (0.887, 0.774, 0.577)

Values from the calculation:
raw formation energy	-1.8847	eV per atom
DOS at the Fermi energy	1.489	states/eV/f.u.
V	340	Å³/cell
ρ	5.96	g/cm³



Entry 8:
VASP calculation (PBE) on a geometry-optimized PmPuFeCu structure.

Lattice parameters (Å, degrees): 4.886 4.886 4.886 60.00 60.00 60.00
Last column: magnetic moment on the atom in μB.
Fractional positions:
Pm (0.500, 0.500, 0.500)  0.28
Pu (0.000, 0.000, 0.000)  5.42
Cu (0.250, 0.250, 0.250)  0.05
Fe (0.750, 0.750, 0.750)  -2.08

Values from the calculation:
energy of formation	0.135	eV per atom
DOS at the Fermi energy	10.388	states/eV/f.u.
V	82	Å³/cell
ρ	10.24	g/cm³



Question: Look up the V of the third one.
Answer: 76 Å³/cell